# 1
# Sm2Dy3Tm6Sc

A geometry-optimized Sm2Dy3Tm6Sc structure (GGA-PBE, Alexandria).

Lattice parameters (Å, degrees): 6.069 10.507 11.618 90.00 100.01 90.00
Space group C2/m (No. 12)
Asymmetric unit:
Sm 0.000 0.166 0.000 (multiplicity 4)
Dy 0.000 0.000 0.500 (multiplicity 2)
Dy 0.000 0.334 0.500 (multiplicity 4)
Tm 0.248 0.335 0.249 (multiplicity 8)
Tm 0.248 0.500 0.750 (multiplicity 4)
Sc 0.000 0.500 0.000 (multiplicity 2)

Output
Energy relative to the elements (eV/atom): 0.029

---

# 2
# Sm4DyTm2Sc

A geometry-optimized Sm4DyTm2Sc structure (GGA-PBE, Alexandria).

Lattice parameters (Å, degrees): 6.133 3.552 11.632 90.00 100.24 90.00
Space group P2/m (No. 10)
Asymmetric unit:
Sm 0.246 0.000 0.244 (multiplicity 2)
Sm 0.250 0.500 0.753 (multiplicity 2)
Dy 0.000 0.000 0.500 (multiplicity 1)
Tm 0.500 0.000 0.000 (multiplicity 1)
Tm 0.500 0.500 0.500 (multiplicity 1)
Sc 0.000 0.500 0.000 (multiplicity 1)

Output
Energy relative to the elements (eV/atom): 0.034